[1]
Density functional theory data (GGA-PBE) for NaLaBr4 after structural relaxation.

Calculated values
Crystal system: monoclinic
Spin magnetization, μB/f.u.: 0.00
E above lowest polymorph, eV/atom: 0.007

Cell: 5.9310 9.4563 8.7594 Å, 90.00 109.76 90.00°
Last column: nearest neighbours and their distance in Å.
Atoms (fractional coordinates):
Na (0.2481, 0.2500, 0.4882)  5 Br 2.97-3.08
Na (0.7519, 0.7500, 0.5118)  5 Br 2.97-3.08
La (0.0489, 0.7500, 0.1010)  7 Br 2.96-3.07
La (0.9511, 0.2500, 0.8990)  7 Br 2.96-3.07
Br (0.1073, 0.0627, 0.1992)  1 Na 2.97, 2 La 3.04-3.07
Br (0.1073, 0.4373, 0.1992)  1 Na 2.97, 2 La 3.04-3.07
Br (0.2255, 0.7500, 0.4600)  1 La 2.96, 2 Na 2.99-3.00
Br (0.4326, 0.2500, 0.8622)  2 La 2.98, 1 Na 3.08
Br (0.5674, 0.7500, 0.1378)  2 La 2.98, 1 Na 3.08
Br (0.7745, 0.2500, 0.5400)  1 La 2.96, 2 Na 2.99-3.00
Br (0.8927, 0.5627, 0.8008)  1 Na 2.97, 2 La 3.04-3.07
Br (0.8927, 0.9373, 0.8008)  1 Na 2.97, 2 La 3.04-3.07



[2]
Density functional theory data (GGA-PBE) for Pm2CdPd3Au12 after structural relaxation.

Calculated values
Crystal system: trigonal
Spin magnetization, μB/f.u.: 0.00
Raw total energy, eV per atom: -3.597

Cell: 8.0701 8.0701 8.0701 Å, 66.94 66.94 66.94°
Last column: nearest neighbours and their distance in Å.
Atoms (fractional coordinates):
Pm (0.1073, 0.1073, 0.1073)  6 Au 2.89-2.90
Pm (0.8927, 0.8927, 0.8927)  6 Au 2.89-2.90
Cd (0.5000, 0.5000, 0.5000)  6 Au 2.77
Pd (0.0000, 0.5000, 0.5000)  6 Au 2.62-2.66
Pd (0.5000, 0.0000, 0.5000)  6 Au 2.62-2.66
Pd (0.5000, 0.5000, 0.0000)  6 Au 2.62-2.66
Au (0.1201, 0.6498, 0.6498)  1 Pd 2.62, 1 Cd 2.77, 2 Au 2.90, 1 Pm 2.90
Au (0.1293, 0.1293, 0.6239)  2 Pd 2.66, 1 Pm 2.89
Au (0.1293, 0.6239, 0.1293)  2 Pd 2.66, 1 Pm 2.89
Au (0.3502, 0.3502, 0.8799)  1 Pd 2.62, 1 Cd 2.77, 2 Au 2.90, 1 Pm 2.90
Au (0.3502, 0.8799, 0.3502)  1 Pd 2.62, 1 Cd 2.77, 2 Au 2.90, 1 Pm 2.90
Au (0.3761, 0.8707, 0.8707)  2 Pd 2.66, 1 Pm 2.89
Au (0.6239, 0.1293, 0.1293)  2 Pd 2.66, 1 Pm 2.89
Au (0.6498, 0.1201, 0.6498)  1 Pd 2.62, 1 Cd 2.77, 2 Au 2.90, 1 Pm 2.90
Au (0.6498, 0.6498, 0.1201)  1 Pd 2.62, 1 Cd 2.77, 2 Au 2.90, 1 Pm 2.90
Au (0.8707, 0.3761, 0.8707)  2 Pd 2.66, 1 Pm 2.89
Au (0.8707, 0.8707, 0.3761)  2 Pd 2.66, 1 Pm 2.89
Au (0.8799, 0.3502, 0.3502)  1 Pd 2.62, 1 Cd 2.77, 2 Au 2.90, 1 Pm 2.90



[3]
Density functional theory data (GGA-PBE) for Hf6TcBi2 after structural relaxation.

Calculated values
Crystal system: monoclinic
Spin magnetization, μB/f.u.: 0.00
E above lowest polymorph, eV/atom: 0.217

Cell: 5.7135 7.3717 11.2380 Å, 90.00 119.80 90.00°
Last column: nearest neighbours and their distance in Å.
Atoms (fractional coordinates):
Hf (0.1019, 0.0438, 0.2474)  1 Tc 2.63
Hf (0.1019, 0.4562, 0.7474)  1 Tc 2.63
Hf (0.1533, 0.7190, 0.0346)  1 Tc 2.73, 1 Hf 2.92, 2 Bi 3.01-3.03
Hf (0.1533, 0.7810, 0.5346)  1 Tc 2.73, 1 Hf 2.92, 2 Bi 3.01-3.03
Hf (0.3802, 0.1589, 0.0241)  1 Tc 2.66, 2 Hf 2.90-2.92
Hf (0.3802, 0.3411, 0.5241)  1 Tc 2.66, 2 Hf 2.90-2.92
Hf (0.6198, 0.6589, 0.4759)  1 Tc 2.66, 2 Hf 2.90-2.92
Hf (0.6198, 0.8411, 0.9759)  1 Tc 2.66, 2 Hf 2.90-2.92
Hf (0.8467, 0.2190, 0.4654)  1 Tc 2.73, 1 Hf 2.92, 2 Bi 3.01-3.03
Hf (0.8467, 0.2810, 0.9654)  1 Tc 2.73, 1 Hf 2.92, 2 Bi 3.01-3.03
Hf (0.8981, 0.5438, 0.2526)  1 Tc 2.63
Hf (0.8981, 0.9562, 0.7526)  1 Tc 2.63
Tc (0.5000, 0.0000, 0.5000)  6 Hf 2.63-2.73
Tc (0.5000, 0.5000, 0.0000)  6 Hf 2.63-2.73
Bi (0.3655, 0.0960, 0.7345)  9 Hf 2.96-3.25, 1 Tc 3.17
Bi (0.3655, 0.4040, 0.2345)  9 Hf 2.96-3.25, 1 Tc 3.17
Bi (0.6345, 0.5960, 0.7655)  9 Hf 2.96-3.25, 1 Tc 3.17
Bi (0.6345, 0.9040, 0.2655)  9 Hf 2.96-3.25, 1 Tc 3.17



[4]
Density functional theory data (GGA-PBE) for BaMnZn2Cl8 after structural relaxation.

Calculated values
Crystal system: trigonal
Spin magnetization, μB/f.u.: 0.99
Raw total energy, eV per atom: -3.633

Cell: 6.2573 6.2573 8.5871 Å, 90.00 90.00 120.00°
Last column: nearest neighbours and their distance in Å.
Atoms (fractional coordinates):
Ba (0.0000, 0.0000, 0.0000)  12 Cl 3.45-3.61
Mn (0.0000, 0.0000, 0.5000)  6 Cl 2.36
Zn (0.3333, 0.6667, 0.7217)  4 Cl 2.30
Zn (0.6667, 0.3333, 0.2783)  4 Cl 2.30
Cl (0.0126, 0.7044, 0.3359)  1 Zn 2.30, 1 Mn 2.36
Cl (0.2956, 0.3082, 0.3359)  1 Zn 2.30, 1 Mn 2.36
Cl (0.3082, 0.0126, 0.6641)  1 Zn 2.30, 1 Mn 2.36
Cl (0.3333, 0.6667, 0.9895)  1 Zn 2.30
Cl (0.6667, 0.3333, 0.0105)  1 Zn 2.30
Cl (0.6918, 0.9874, 0.3359)  1 Zn 2.30, 1 Mn 2.36
Cl (0.7044, 0.6918, 0.6641)  1 Zn 2.30, 1 Mn 2.36
Cl (0.9874, 0.2956, 0.6641)  1 Zn 2.30, 1 Mn 2.36



[5]
Density functional theory data (GGA-PBE) for TaCu2Au after structural relaxation.

Calculated values
Crystal system: orthorhombic
Spin magnetization, μB/f.u.: 0.00
E above lowest polymorph, eV/atom: 0.183

Cell: 2.7585 4.6596 4.8790 Å, 90.00 90.00 90.00°
Last column: nearest neighbours and their distance in Å.
Atoms (fractional coordinates):
Ta (0.0000, 0.0000, 0.0000)  4 Cu 2.71, 2 Ta 2.76, 4 Au 2.80
Cu (0.0000, 0.5000, 0.5000)  4 Au 2.71, 6 Cu 2.76-2.80
Cu (0.5000, 0.5000, 0.0000)  4 Ta 2.71, 6 Cu 2.76-2.80
Au (0.5000, 0.0000, 0.5000)  4 Cu 2.71, 2 Au 2.76, 4 Ta 2.80



[6]
Density functional theory data (GGA-PBE) for Pr12Dy7Ho after structural relaxation.

Calculated values
Crystal system: trigonal
Spin magnetization, μB/f.u.: 0.00
E above lowest polymorph, eV/atom: 0.000

Cell: 11.5774 11.5774 11.5774 Å, 116.80 116.80 116.80°
Last column: nearest neighbours and their distance in Å.
Atoms (fractional coordinates):
Pr (0.0651, 0.4175, 0.4184)  4 Dy 3.35-3.62, 1 Pr 3.38
Pr (0.0879, 0.4992, 0.9112)  2 Dy 3.40, 5 Pr 3.40-3.80
Pr (0.0888, 0.9121, 0.5008)  2 Dy 3.40, 5 Pr 3.40-3.80
Pr (0.4184, 0.0651, 0.4175)  4 Dy 3.35-3.62, 1 Pr 3.38
Pr (0.4175, 0.4184, 0.0651)  4 Dy 3.35-3.62, 1 Pr 3.38
Pr (0.4992, 0.9112, 0.0879)  2 Dy 3.40, 5 Pr 3.40-3.80
Pr (0.5008, 0.0888, 0.9121)  2 Dy 3.40, 5 Pr 3.40-3.80
Pr (0.5825, 0.5816, 0.9349)  4 Dy 3.35-3.62, 1 Pr 3.38
Pr (0.5816, 0.9349, 0.5825)  4 Dy 3.35-3.62, 1 Pr 3.38
Pr (0.9112, 0.0879, 0.4992)  2 Dy 3.40, 5 Pr 3.40-3.80
Pr (0.9121, 0.5008, 0.0888)  2 Dy 3.40, 5 Pr 3.40-3.80
Pr (0.9349, 0.5825, 0.5816)  4 Dy 3.35-3.62, 1 Pr 3.38
Dy (0.1229, 0.3680, 0.1238)  1 Ho 3.07, 4 Pr 3.35-3.41, 1 Dy 3.35
Dy (0.1238, 0.1229, 0.3680)  1 Ho 3.07, 4 Pr 3.35-3.41, 1 Dy 3.35
Dy (0.3680, 0.1238, 0.1229)  1 Ho 3.07, 4 Pr 3.35-3.41, 1 Dy 3.35
Dy (0.5000, 0.5000, 0.5000)  2 Ho 3.14, 6 Dy 3.35
Dy (0.6320, 0.8762, 0.8771)  1 Ho 3.07, 4 Pr 3.35-3.41, 1 Dy 3.35
Dy (0.8762, 0.8771, 0.6320)  1 Ho 3.07, 4 Pr 3.35-3.41, 1 Dy 3.35
Dy (0.8771, 0.6320, 0.8762)  1 Ho 3.07, 4 Pr 3.35-3.41, 1 Dy 3.35
Ho (0.0000, 0.0000, 0.0000)  8 Dy 3.07-3.14



[7]
Density functional theory data (GGA-PBE) for BePdSe after structural relaxation.

Calculated values
Crystal system: triclinic
Spin magnetization, μB/f.u.: 0.00
Raw total energy, eV per atom: -4.450

Cell: 3.6632 4.5290 6.7254 Å, 78.89 88.57 70.95°
Last column: nearest neighbours and their distance in Å.
Atoms (fractional coordinates):
Be (0.1602, 0.2164, 0.4365)  3 Se 2.35-2.48, 3 Pd 2.36-2.57, 1 Be 2.60
Be (0.8398, 0.7836, 0.5635)  3 Se 2.35-2.48, 3 Pd 2.36-2.57, 1 Be 2.60
Pd (0.3250, 0.6803, 0.3217)  3 Be 2.36-2.57, 2 Se 2.54-2.56
Pd (0.6750, 0.3197, 0.6783)  3 Be 2.36-2.57, 2 Se 2.54-2.56
Se (0.3006, 0.8512, 0.7716)  3 Be 2.35-2.48, 2 Pd 2.54-2.56
Se (0.6994, 0.1488, 0.2284)  3 Be 2.35-2.48, 2 Pd 2.54-2.56



[8]
Density functional theory data (GGA-PBE) for Li2Ag7Sn2Hg after structural relaxation.

Calculated values
Crystal system: monoclinic
Spin magnetization, μB/f.u.: 0.00
Raw total energy, eV per atom: -2.718

Cell: 4.1641 4.1641 13.4031 Å, 90.32 90.32 90.39°
Last column: nearest neighbours and their distance in Å.
Atoms (fractional coordinates):
Li (0.0009, 0.0009, 0.1844)  6 Ag 2.85-2.92, 4 Sn 2.93-2.95
Li (0.9991, 0.9991, 0.8156)  6 Ag 2.85-2.92, 4 Sn 2.93-2.95
Ag (0.0000, 0.0000, 0.5000)  4 Hg 2.93-2.95, 8 Ag 3.02-3.04
Ag (0.0016, 0.5010, 0.3361)  2 Li 2.90-2.92, 2 Sn 2.92-2.93, 6 Ag 2.93-3.04, 2 Hg 3.01-3.04
Ag (0.2449, 0.2449, 0.9998)  2 Li 2.85-2.87, 2 Sn 2.87-2.88, 4 Ag 2.88-2.99
Ag (0.4990, 0.9984, 0.6639)  2 Li 2.90-2.92, 2 Sn 2.92-2.93, 6 Ag 2.93-3.04, 2 Hg 3.01-3.04
Ag (0.5010, 0.0016, 0.3361)  2 Li 2.90-2.92, 2 Sn 2.92-2.93, 6 Ag 2.93-3.04, 2 Hg 3.01-3.04
Ag (0.7551, 0.7551, 0.0002)  2 Li 2.85-2.87, 2 Sn 2.87-2.88, 4 Ag 2.88-2.99
Ag (0.9984, 0.4990, 0.6639)  2 Li 2.90-2.92, 2 Sn 2.92-2.93, 6 Ag 2.93-3.04, 2 Hg 3.01-3.04
Sn (0.4993, 0.4993, 0.8172)  6 Ag 2.87-2.93, 4 Li 2.93-2.95
Sn (0.5007, 0.5007, 0.1828)  6 Ag 2.87-2.93, 4 Li 2.93-2.95
Hg (0.5000, 0.5000, 0.5000)  12 Ag 2.93-3.04



Which value of spin magnetization does entry 8 give?
0.00 μB/f.u.



Copy entry 4 word for word.
Density functional theory data (GGA-PBE) for BaMnZn2Cl8 after structural relaxation.

Calculated values
Crystal system: trigonal
Spin magnetization, μB/f.u.: 0.99
Raw total energy, eV per atom: -3.633

Cell: 6.2573 6.2573 8.5871 Å, 90.00 90.00 120.00°
Last column: nearest neighbours and their distance in Å.
Atoms (fractional coordinates):
Ba (0.0000, 0.0000, 0.0000)  12 Cl 3.45-3.61
Mn (0.0000, 0.0000, 0.5000)  6 Cl 2.36
Zn (0.3333, 0.6667, 0.7217)  4 Cl 2.30
Zn (0.6667, 0.3333, 0.2783)  4 Cl 2.30
Cl (0.0126, 0.7044, 0.3359)  1 Zn 2.30, 1 Mn 2.36
Cl (0.2956, 0.3082, 0.3359)  1 Zn 2.30, 1 Mn 2.36
Cl (0.3082, 0.0126, 0.6641)  1 Zn 2.30, 1 Mn 2.36
Cl (0.3333, 0.6667, 0.9895)  1 Zn 2.30
Cl (0.6667, 0.3333, 0.0105)  1 Zn 2.30
Cl (0.6918, 0.9874, 0.3359)  1 Zn 2.30, 1 Mn 2.36
Cl (0.7044, 0.6918, 0.6641)  1 Zn 2.30, 1 Mn 2.36
Cl (0.9874, 0.2956, 0.6641)  1 Zn 2.30, 1 Mn 2.36